No. 1
Li2In PBEsol optimized geometry; space group = P6/mmm (191); formation enthalpy at 0 K = -0.2946 eV per atom
1.0
4.624 0.000 0.000
-2.312 4.004 0.000
0.000 0.000 2.890
Li In
2 1
Cartesian
0.000 2.670 0.000 Li
2.312 1.335 0.000 Li
0.000 0.000 1.445 In

=====

No. 2
Cu2POs PBEsol optimized geometry; space group = Immm (71); formation enthalpy at 0 K = 0.1389 eV per atom
1.0
-1.425 1.974 4.302
1.425 -1.974 4.302
1.425 1.974 -4.302
Cu P Os
2 1 1
Cartesian
0.000 0.000 1.942 Cu
0.000 0.000 6.662 Cu
1.425 0.000 0.000 P
0.000 1.974 0.000 Os

=====

No. 3
YMg2Fe PBEsol optimized geometry; space group = P4/mmm (123); formation enthalpy at 0 K = 0.2578 eV per atom
1.0
3.329 0.000 0.000
0.000 3.329 0.000
0.000 0.000 7.357
Y Mg Fe
1 2 1
Cartesian
0.000 0.000 0.000 Y
1.664 1.664 2.252 Mg
1.664 1.664 5.104 Mg
0.000 0.000 3.678 Fe

=====

No. 4
ZnPtRh2 PBEsol optimized geometry; space group = Cm (8); formation enthalpy at 0 K = -0.2075 eV per atom
1.0
4.440 -1.357 0.000
4.440 1.357 0.000
-0.847 0.000 4.564
Zn Pt Rh
1 1 2
Cartesian
0.000 0.000 0.000 Zn
6.463 0.000 1.086 Pt
1.606 0.000 3.346 Rh
4.039 0.000 2.324 Rh

=====

No. 5
LiLaPb2 PBEsol optimized geometry; space group = Pmm2 (25); formation enthalpy at 0 K = -0.2341 eV per atom
1.0
3.640 0.000 0.000
0.000 4.473 0.000
0.000 0.000 6.820
Li La Pb
1 1 2
Cartesian
0.000 0.000 0.000 Li
1.820 2.237 4.668 La
0.000 0.000 2.992 Pb
1.820 2.237 1.203 Pb

=====

No. 6
BeRhIN2 PBEsol optimized geometry; uncorrected formation energy = 1.09 eV per atom; space group = P4/mmm (123)
1.0
3.683 0.000 0.000
0.000 3.683 0.000
0.000 0.000 7.310
Be Rh I N
1 1 1 2
Cartesian
0.000 0.000 0.000 Be
1.842 1.842 3.655 Rh
1.842 1.842 0.000 I
0.000 1.842 3.655 N
1.842 0.000 3.655 N

=====

No. 7
LiTlI2 PBEsol optimized geometry; uncorrected formation energy = -0.84 eV per atom; space group = I-42d (122)
1.0
-4.043 4.043 4.233
4.043 -4.043 4.233
4.043 4.043 -4.233
Li Tl I
2 2 4
Cartesian
0.000 0.000 0.000 Li
0.000 4.043 2.116 Li
4.043 0.000 2.116 Tl
0.000 0.000 4.233 Tl
2.022 1.510 -1.058 I
2.533 -2.022 5.291 I
2.022 2.533 3.175 I
1.510 6.065 1.058 I

=====

No. 8
Tl4CoTe PBEsol optimized geometry; uncorrected formation energy = 0.68 eV per atom; space group = F-43m (216)
1.0
0.000 4.360 4.360
4.360 0.000 4.360
4.360 4.360 0.000
Tl Co Te
4 1 1
Cartesian
1.092 1.092 1.092 Tl
3.268 3.268 1.092 Tl
3.268 1.092 3.268 Tl
1.092 3.268 3.268 Tl
4.360 4.360 4.360 Co
6.540 6.540 6.540 Te

=====

No. 9
SnSbWI2 PBEsol optimized geometry; uncorrected formation energy = 1.64 eV per atom; space group = P4/mmm (123)
1.0
5.682 0.000 0.000
0.000 5.682 0.000
0.000 0.000 5.768
Sn Sb W I
1 1 1 2
Cartesian
0.000 0.000 0.000 Sn
0.000 0.000 2.884 Sb
2.841 2.841 2.884 W
0.000 2.841 0.000 I
2.841 0.000 0.000 I

=====

No. 10
TbPd PBEsol optimized geometry; space group = Pnma (62); formation enthalpy at 0 K = -0.8895 eV per atom
1.0
6.838 0.000 0.000
0.000 4.570 0.000
0.000 0.000 5.492
Tb Pd
4 4
Cartesian
1.245 1.142 0.786 Tb
2.174 3.427 3.532 Tb
4.664 1.142 1.960 Tb
5.593 3.427 4.706 Tb
0.285 1.142 3.586 Pd
3.134 3.427 0.840 Pd
3.704 1.142 4.652 Pd
6.553 3.427 1.906 Pd

=====

No. 11
ReNi PBEsol optimized geometry; space group = Cmcm (63); formation enthalpy at 0 K = -0.0408 eV per atom
1.0
1.276 -4.816 0.000
1.276 4.816 0.000
0.000 0.000 4.036
Re Ni
2 2
Cartesian
1.276 3.144 3.027 Re
1.276 -3.144 1.009 Re
1.276 0.606 3.027 Ni
1.276 -0.606 1.009 Ni

=====

No. 12
LiTcPb2 PBEsol optimized geometry; space group = P4/mmm (123); distance to the lowest polymorph of the same formula = 0.000 eV/f.u.; formation enthalpy at 0 K = 0.2402 eV per atom
1.0
3.428 0.000 0.000
0.000 3.428 0.000
0.000 0.000 6.705
Li Tc Pb
1 1 2
Cartesian
0.000 0.000 0.000 Li
0.000 0.000 3.353 Tc
1.714 1.714 1.769 Pb
1.714 1.714 4.936 Pb

=====

Number 1: N(E_F) 1.17 states/eV/cell. Number 2: N(E_F) 3.49 states/eV/cell. Number 3: N(E_F) 5.14 states/eV/cell. Number 4: N(E_F) 3.66 states/eV/cell. Number 5: N(E_F) 2.94 states/eV/cell. Number 6: N(E_F) 2.41 states/eV/cell. Number 7: N(E_F) 0.00 states/eV/cell. Number 8: N(E_F) 7.39 states/eV/cell. Number 9: N(E_F) 6.15 states/eV/cell. Number 10: N(E_F) 4.57 states/eV/cell. Number 11: N(E_F) 2.59 states/eV/cell. Number 12: N(E_F) 3.19 states/eV/cell.